(1)
Computed, not measured: an optimized crystal structure of TiCu at the PBE level of DFT.

Results
The calculation puts the theoretical density at 6.36 g/cm³. For the density of states at the Fermi level, the calculation gives 1.50 states/eV/f.u. For the formation energy, the calculation gives -0.0948 eV per atom.

Unit cell a=3.0855 b=3.0855 c=9.1613 alpha=90.00 beta=90.00 gamma=90.00
With the nearest neighbours (Å) after each atom.
Fractional positions:
Ti1 0.0000 0.0000 0.0000  9 Cu 2.62-2.76
Ti2 0.0000 0.0000 0.3451  4 Cu 2.71, 4 Ti 2.80
Ti3 0.5000 0.5000 0.5362  5 Cu 2.64-2.80, 4 Ti 2.80
Cu1 0.0000 0.0000 0.6989  4 Cu 2.54, 5 Ti 2.64-2.76
Cu2 0.5000 0.5000 0.1704  8 Ti 2.68-2.71
Cu3 0.5000 0.5000 0.8414  4 Cu 2.54, 5 Ti 2.62-2.80

---

(2)
Computed, not measured: an optimized crystal structure of Ti3Cu at the PBE level of DFT.

Results
The calculation puts the theoretical density at 5.47 g/cm³. For the density of states at the Fermi level, the calculation gives 5.59 states/eV/f.u. For the formation energy, the calculation gives 0.0957 eV per atom.

Unit cell a=4.4641 b=4.4641 c=4.4641 alpha=60.00 beta=60.00 gamma=60.00
With the nearest neighbours (Å) after each atom.
Fractional positions:
Ti1 0.0000 0.0000 0.0000  8 Ti 2.73
Ti2 0.2500 0.2500 0.2500  4 Cu 2.73, 4 Ti 2.73
Ti3 0.7500 0.7500 0.7500  4 Cu 2.73, 4 Ti 2.73
Cu1 0.5000 0.5000 0.5000  8 Ti 2.73

---

(3)
Computed, not measured: an optimized crystal structure of TiCu at the PBE level of DFT.

Results
The calculation puts the theoretical density at 3.49 g/cm³. For the density of states at the Fermi level, the calculation gives 2.32 states/eV/f.u. For the formation energy, the calculation gives 1.3010 eV per atom.

Unit cell a=6.8257 b=6.8257 c=6.8257 alpha=90.00 beta=90.00 gamma=90.00
With the nearest neighbours (Å) after each atom.
Fractional positions:
Ti1 0.0000 0.2500 0.5000  4 Cu 2.41
Ti2 0.0000 0.7500 0.5000  4 Cu 2.41
Ti3 0.2500 0.5000 0.0000  4 Cu 2.41
Ti4 0.5000 0.0000 0.2500  4 Cu 2.41
Ti5 0.5000 0.0000 0.7500  4 Cu 2.41
Ti6 0.7500 0.5000 0.0000  4 Cu 2.41
Cu1 0.0000 0.5000 0.2500  4 Ti 2.41
Cu2 0.0000 0.5000 0.7500  4 Ti 2.41
Cu3 0.2500 0.0000 0.5000  4 Ti 2.41
Cu4 0.5000 0.2500 0.0000  4 Ti 2.41
Cu5 0.5000 0.7500 0.0000  4 Ti 2.41
Cu6 0.7500 0.0000 0.5000  4 Ti 2.41

---

(4)
Computed, not measured: an optimized crystal structure of Ti3Cu at the PBE level of DFT.

Results
The calculation puts the theoretical density at 5.48 g/cm³. For the density of states at the Fermi level, the calculation gives 7.05 states/eV/f.u. For the formation energy, the calculation gives 0.0168 eV per atom.

Unit cell a=3.9753 b=3.9753 c=3.9753 alpha=90.00 beta=90.00 gamma=90.00
With the nearest neighbours (Å) after each atom.
Fractional positions:
Ti1 0.0000 0.0000 0.5000  4 Cu 2.81, 8 Ti 2.81
Ti2 0.0000 0.5000 0.0000  4 Cu 2.81, 8 Ti 2.81
Ti3 0.5000 0.0000 0.0000  4 Cu 2.81, 8 Ti 2.81
Cu1 0.5000 0.5000 0.5000  12 Ti 2.81

---

(5)
Computed, not measured: an optimized crystal structure of Ti5Cu at the PBE level of DFT.

Results
The calculation puts the theoretical density at 5.14 g/cm³. For the density of states at the Fermi level, the calculation gives 9.50 states/eV/f.u. For the formation energy, the calculation gives 0.0279 eV per atom.

Unit cell a=6.3426 b=6.3426 c=4.0312 alpha=90.00 beta=90.00 gamma=142.87
With the nearest neighbours (Å) after each atom.
Fractional positions:
Ti1 0.0000 0.0000 0.0000  8 Ti 2.82-2.85, 4 Cu 2.85
Ti2 0.1643 0.8357 0.5000  10 Ti 2.82-2.88, 2 Cu 2.83
Ti3 0.3327 0.6673 0.0000  10 Ti 2.83-2.86, 2 Cu 2.85
Ti4 0.6673 0.3327 0.0000  10 Ti 2.83-2.86, 2 Cu 2.85
Ti5 0.8357 0.1643 0.5000  10 Ti 2.82-2.88, 2 Cu 2.83
Cu1 0.5000 0.5000 0.5000  12 Ti 2.83-2.85

---

(6)
Computed, not measured: an optimized crystal structure of TiCu at the PBE level of DFT.

Results
The calculation puts the theoretical density at 5.69 g/cm³. For the density of states at the Fermi level, the calculation gives 3.53 states/eV/f.u. For the formation energy, the calculation gives 0.4378 eV per atom.

Unit cell a=3.5827 b=3.5827 c=3.5827 alpha=60.00 beta=60.00 gamma=60.00
With the nearest neighbours (Å) after each atom.
Fractional positions:
Ti1 0.0000 0.0000 0.0000  6 Cu 2.53
Cu1 0.5000 0.5000 0.5000  6 Ti 2.53

---

(7)
Computed, not measured: an optimized crystal structure of TiCu at the PBE level of DFT.

Results
The calculation puts the theoretical density at 6.39 g/cm³. For the density of states at the Fermi level, the calculation gives 2.61 states/eV/f.u. For the formation energy, the calculation gives 0.0197 eV per atom.

Unit cell a=4.7507 b=5.5024 c=8.8665 alpha=90.00 beta=90.00 gamma=90.00
With the nearest neighbours (Å) after each atom.
Fractional positions:
Ti1 0.0164 0.1419 0.2488  7 Cu 2.64-2.91, 5 Ti 2.70-2.79
Ti2 0.1902 0.3956 0.5034  7 Cu 2.60-2.83, 5 Ti 2.70-2.87
Ti3 0.3098 0.6044 0.0034  7 Cu 2.60-2.83, 5 Ti 2.70-2.87
Ti4 0.4836 0.8581 0.7488  7 Cu 2.64-2.91, 5 Ti 2.70-2.79
Ti5 0.5164 0.3581 0.7512  7 Cu 2.64-2.91, 5 Ti 2.70-2.79
Ti6 0.6902 0.1044 0.4966  7 Cu 2.60-2.83, 5 Ti 2.70-2.87
Ti7 0.8098 0.8956 0.9966  7 Cu 2.60-2.83, 5 Ti 2.70-2.87
Ti8 0.9836 0.6419 0.2512  7 Cu 2.64-2.91, 5 Ti 2.70-2.79
Cu1 0.0119 0.1258 0.7522  7 Ti 2.68-2.91, 5 Cu 2.68-2.75
Cu2 0.1717 0.8811 0.5025  7 Ti 2.60-2.83, 5 Cu 2.68-2.78
Cu3 0.3283 0.1189 0.0025  7 Ti 2.60-2.83, 5 Cu 2.68-2.78
Cu4 0.4881 0.8742 0.2522  7 Ti 2.68-2.91, 5 Cu 2.68-2.75
Cu5 0.5119 0.3742 0.2478  7 Ti 2.68-2.91, 5 Cu 2.68-2.75
Cu6 0.6717 0.6189 0.4975  7 Ti 2.60-2.83, 5 Cu 2.68-2.78
Cu7 0.8283 0.3811 0.9975  7 Ti 2.60-2.83, 5 Cu 2.68-2.78
Cu8 0.9881 0.6258 0.7478  7 Ti 2.68-2.91, 5 Cu 2.68-2.75

---

(8)
Computed, not measured: an optimized crystal structure of TiCu at the PBE level of DFT.

Results
The calculation puts the theoretical density at 4.74 g/cm³. For the density of states at the Fermi level, the calculation gives 3.72 states/eV/f.u. For the formation energy, the calculation gives 0.8273 eV per atom.

Unit cell a=4.2265 b=4.2265 c=5.0511 alpha=90.00 beta=90.00 gamma=120.00
With the nearest neighbours (Å) after each atom.
Fractional positions:
Ti1 0.3333 0.6667 0.2500  5 Cu 2.44-2.53
Ti2 0.6667 0.3333 0.7500  5 Cu 2.44-2.53
Cu1 0.3333 0.6667 0.7500  5 Ti 2.44-2.53
Cu2 0.6667 0.3333 0.2500  5 Ti 2.44-2.53

---

(9)
Computed, not measured: an optimized crystal structure of TiCu at the PBE level of DFT.

Results
The calculation puts the theoretical density at 5.94 g/cm³. For the density of states at the Fermi level, the calculation gives 1.30 states/eV/f.u. For the formation energy, the calculation gives 0.2340 eV per atom.

Unit cell a=8.9813 b=8.9813 c=2.6750 alpha=90.00 beta=90.00 gamma=120.00
With the nearest neighbours (Å) after each atom.
Fractional positions:
Ti1 0.1336 0.5044 0.2500  3 Cu 2.58-2.68, 6 Ti 2.68-2.86
Ti2 0.3708 0.8664 0.2500  3 Cu 2.58-2.68, 6 Ti 2.68-2.86
Ti3 0.4956 0.6292 0.2500  3 Cu 2.58-2.68, 6 Ti 2.68-2.86
Ti4 0.5044 0.3708 0.7500  3 Cu 2.58-2.68, 6 Ti 2.68-2.86
Ti5 0.6292 0.1336 0.7500  3 Cu 2.58-2.68, 6 Ti 2.68-2.86
Ti6 0.8664 0.4956 0.7500  3 Cu 2.58-2.68, 6 Ti 2.68-2.86
Cu1 0.0526 0.7900 0.2500  6 Cu 2.54-2.68, 3 Ti 2.58-2.68
Cu2 0.2100 0.2626 0.2500  6 Cu 2.54-2.68, 3 Ti 2.58-2.68
Cu3 0.2626 0.0526 0.7500  6 Cu 2.54-2.68, 3 Ti 2.58-2.68
Cu4 0.7374 0.9474 0.2500  6 Cu 2.54-2.68, 3 Ti 2.58-2.68
Cu5 0.7900 0.7374 0.7500  6 Cu 2.54-2.68, 3 Ti 2.58-2.68
Cu6 0.9474 0.2100 0.7500  6 Cu 2.54-2.68, 3 Ti 2.58-2.68

---

(10)
Computed, not measured: an optimized crystal structure of Ti3Cu at the PBE level of DFT.

Results
The calculation puts the theoretical density at 5.47 g/cm³. For the density of states at the Fermi level, the calculation gives 6.78 states/eV/f.u. For the formation energy, the calculation gives 0.0152 eV per atom.

Unit cell a=5.0055 b=5.0055 c=5.0055 alpha=134.47 beta=134.47 gamma=66.36
With the nearest neighbours (Å) after each atom.
Fractional positions:
Ti1 0.0000 0.0000 0.0000  4 Cu 2.74, 8 Ti 2.85
Ti2 0.2500 0.7500 0.5000  8 Ti 2.74-2.85, 4 Cu 2.85
Ti3 0.7500 0.2500 0.5000  8 Ti 2.74-2.85, 4 Cu 2.85
Cu1 0.5000 0.5000 0.0000  12 Ti 2.74-2.85

---

(11)
Computed, not measured: an optimized crystal structure of Ti3Cu at the PBE level of DFT.

Results
The calculation puts the theoretical density at 5.42 g/cm³. For the density of states at the Fermi level, the calculation gives 3.76 states/eV/f.u. For the formation energy, the calculation gives -0.0639 eV per atom.

Unit cell a=2.8926 b=2.8926 c=7.5851 alpha=90.00 beta=90.00 gamma=90.00
With the nearest neighbours (Å) after each atom.
Fractional positions:
Ti1 0.0000 0.0000 0.0000  12 Ti 2.86-2.89
Ti2 0.5000 0.5000 0.2638  4 Cu 2.72, 8 Ti 2.86-2.89
Ti3 0.5000 0.5000 0.7362  4 Cu 2.72, 8 Ti 2.86-2.89
Cu1 0.0000 0.0000 0.5000  8 Ti 2.72, 4 Cu 2.89

---

(12)
Computed, not measured: an optimized crystal structure of TiCu at the PBE level of DFT.

Results
The calculation puts the theoretical density at 6.06 g/cm³. For the density of states at the Fermi level, the calculation gives 2.50 states/eV/f.u. For the formation energy, the calculation gives 0.2208 eV per atom.

Unit cell a=7.0813 b=7.0813 c=7.0813 alpha=91.81 beta=91.81 gamma=159.54
With the nearest neighbours (Å) after each atom.
Fractional positions:
Ti1 0.1203 0.3461 0.4665  2 Ti 2.52, 4 Cu 2.64-2.69
Ti2 0.3461 0.8797 0.2258  2 Ti 2.52, 4 Cu 2.64-2.69
Ti3 0.6539 0.1203 0.7742  2 Ti 2.52, 4 Cu 2.64-2.69
Ti4 0.8797 0.6539 0.5335  2 Ti 2.52, 4 Cu 2.64-2.69
Cu1 0.0755 0.8424 0.9179  4 Cu 2.44-2.52, 4 Ti 2.64-2.69
Cu2 0.1576 0.0755 0.2331  4 Cu 2.44-2.52, 4 Ti 2.64-2.69
Cu3 0.8424 0.9245 0.7669  4 Cu 2.44-2.52, 4 Ti 2.64-2.69
Cu4 0.9245 0.1576 0.0821  4 Cu 2.44-2.52, 4 Ti 2.64-2.69